Entry 1:
Crystalline CrIn2 at its relaxed geometry. Source: Alexandria, functional PBE-GGA.

Calculated values
calculated total energy	-55.9	eV per cell

Unit cell a=3.4740 b=15.3828 c=4.8164 alpha=90.00 beta=90.00 gamma=90.00
Space group Cmcm (No. 63)
Asymmetric unit:
1 Cr 0.0000 0.1069 0.2500 [4 per cell]
2 In 0.0000 0.2335 0.7500 [4 per cell]
3 In 0.0000 0.4408 0.2500 [4 per cell]


Entry 2:
Crystalline Cr4In at its relaxed geometry. Source: Alexandria, functional PBE-GGA.

Calculated values
calculated total energy	-31.9	eV per cell
polymorph energy (0 for the lowest one)	284.3	meV/atom

Unit cell a=5.1158 b=5.1158 c=5.1158 alpha=90.00 beta=90.00 gamma=90.00
Space group Pm-3m (No. 221)
Asymmetric unit:
1 Cr 0.0000 0.0000 0.0000 [1 per cell]
2 Cr 0.0000 0.5000 0.5000 [3 per cell]
3 In 0.5000 0.5000 0.5000 [1 per cell]


> calculated total energy of number 1 (CrIn2)?

-55.9 eV per cell